[1]
Computed, not measured: AlRe2Ag after structural relaxation at the GGA-PBE level of DFT.

E_form   0.549 eV/atom

Lattice parameters (Å, degrees): 4.6938 4.6938 2.7747 90.00 90.00 90.00
Space group P4/mmm (No. 123)
Unique sites:
1 Al 0.0000 0.0000 0.0000 x1
2 Re 0.0000 0.5000 0.5000 x2
3 Ag 0.5000 0.5000 0.0000 x1



[2]
Computed, not measured: Al2ReAg after structural relaxation at the GGA-PBE level of DFT.

E_form   0.061 eV/atom

Lattice parameters (Å, degrees): 8.8353 2.7517 5.2342 90.00 99.59 90.00
Space group C2/m (No. 12)
Unique sites:
1 Al 0.2455 0.0000 0.2320 x4
2 Re 0.0000 0.5000 0.0000 x2
3 Ag 0.0000 0.0000 0.5000 x2



[3]
Computed, not measured: AlRe2Ag after structural relaxation at the GGA-PBE level of DFT.

E_form   0.266 eV/atom

Lattice parameters (Å, degrees): 4.1372 4.1372 7.1348 90.00 90.00 90.00
Space group I-4m2 (No. 119)
Unique sites:
1 Al 0.0000 0.0000 0.0000 x2
2 Re 0.0000 0.0000 0.5000 x2
3 Re 0.0000 0.5000 0.7500 x2
4 Ag 0.0000 0.5000 0.2500 x2



[4]
Computed, not measured: AlRe2Ag after structural relaxation at the GGA-PBE level of DFT.

E_form   0.293 eV/atom

Lattice parameters (Å, degrees): 2.9069 4.5121 9.4690 90.00 90.00 90.00
Space group Immm (No. 71)
Unique sites:
1 Al 0.0000 0.0000 0.0000 x2
2 Re 0.0000 0.5000 0.2687 x4
3 Ag 0.0000 0.0000 0.5000 x2



[5]
Computed, not measured: Al2ReAg after structural relaxation at the GGA-PBE level of DFT.

E_form   0.132 eV/atom

Lattice parameters (Å, degrees): 2.8521 2.8521 26.8909 90.00 90.00 120.00
Space group R3m (No. 160, hexagonal axes)
Unique sites:
1 Al 0.0000 0.0000 0.0000 x3
2 Al 0.0000 0.0000 0.2498 x3
3 Re 0.0000 0.0000 0.5056 x3
4 Ag 0.0000 0.0000 0.7488 x3



[6]
Computed, not measured: AlReAg after structural relaxation at the GGA-PBE level of DFT.

E_form   0.154 eV/atom

Lattice parameters (Å, degrees): 4.6134 4.8321 5.1849 68.58 78.22 61.71
Space group P1 (No. 1)
Unique sites:
1 Al 0.0000 0.0000 0.0000 x1
2 Al 0.3875 0.8093 0.4800 x1
3 Re 0.3271 0.3609 0.9912 x1
4 Re 0.6683 0.6432 0.9999 x1
5 Ag 0.0311 0.4868 0.4967 x1
6 Ag 0.6989 0.1367 0.5113 x1



[7]
Computed, not measured: Al2ReAg after structural relaxation at the GGA-PBE level of DFT.

E_form   0.085 eV/atom

Lattice parameters (Å, degrees): 4.7293 2.7727 5.1827 90.00 113.84 90.00
Space group P2/m (No. 10)
Unique sites:
1 Al 0.0000 0.0000 0.0000 x1
2 Al 0.0000 0.5000 0.5000 x1
3 Re 0.5000 0.0000 0.5000 x1
4 Ag 0.5000 0.5000 0.0000 x1



[8]
Computed, not measured: AlRe2Ag after structural relaxation at the GGA-PBE level of DFT.

E_form   0.366 eV/atom

Lattice parameters (Å, degrees): 2.7083 4.4982 5.1932 90.00 101.32 90.00
Space group P2/m (No. 10)
Unique sites:
1 Al 0.0000 0.0000 0.0000 x1
2 Re 0.2556 0.5000 0.7634 x2
3 Ag 0.5000 0.0000 0.5000 x1



- Which of these has the lowest E_form?
  number 2



- Which of these has the lowest E_form?
  number 2



- Among the records above, which one has the highest E_form?
  number 1



Copy entry 1 word for word.
Computed, not measured: AlRe2Ag after structural relaxation at the GGA-PBE level of DFT.

E_form   0.549 eV/atom

Lattice parameters (Å, degrees): 4.6938 4.6938 2.7747 90.00 90.00 90.00
Space group P4/mmm (No. 123)
Unique sites:
1 Al 0.0000 0.0000 0.0000 x1
2 Re 0.0000 0.5000 0.5000 x2
3 Ag 0.5000 0.5000 0.0000 x1